A plane-wave DFT calculation with PBE was carried out for crystalline K2IrAu at its relaxed geometry.

Geometry as POSCAR:
```
K2IrAu
1.0
0.000 3.953 3.953
3.953 0.000 3.953
3.953 3.953 0.000
K Ir Au
2 1 1
Cartesian
1.976 1.976 1.976
5.929 5.929 5.929
0.000 0.000 0.000
3.953 3.953 3.953
```

Computed properties:
- polymorph energy (0 for the lowest one) (meV/atom) = 528.2
- E_form (eV per formula unit) = 3.260
- total energy (eV per atom) = -2.77
- volume (Å³/cell) = 123.5


A plane-wave DFT calculation with PBE was carried out for crystalline K2IrAu at its relaxed geometry.

Geometry as POSCAR:
```
K2IrAu
1.0
2.701 0.000 0.000
0.000 4.407 0.000
0.000 0.000 8.884
Au Ir K
1 1 2
Cartesian
1.350 2.204 2.221
1.350 2.204 6.663
0.000 0.000 8.752
0.000 0.000 4.574
```

Computed properties:
- polymorph energy (0 for the lowest one) (meV/atom) = 190.9
- E_form (eV per formula unit) = 1.910
- total energy (eV per atom) = -3.11
- volume (Å³/cell) = 105.8


A plane-wave DFT calculation with PBE was carried out for crystalline KIr4Au at its relaxed geometry.

Geometry as POSCAR:
```
KIr4Au
1.0
-2.903 -4.145 -1.715
-3.877 0.760 -3.597
0.601 -1.797 -4.996
K Ir Au
1 4 1
Cartesian
-4.634 -3.886 -7.731
-3.770 -4.019 -4.722
-2.013 -2.842 -6.367
-4.259 -1.560 -5.665
-2.315 -1.941 -3.862
0.000 0.000 0.000
```

Computed properties:
- E_form (eV per formula unit) = 4.104
- total energy (eV per atom) = -5.95
- volume (Å³/cell) = 107.8


A plane-wave DFT calculation with PBE was carried out for crystalline K2IrAu at its relaxed geometry.

Geometry as POSCAR:
```
K2IrAu
1.0
-2.075 0.528 3.934
-3.322 -1.012 -1.617
0.954 -5.011 1.176
Au Ir K
1 1 2
Cartesian
-0.560 -2.242 2.555
-1.184 -3.012 -0.220
0.000 0.000 0.000
-2.699 -0.242 1.159
```

Computed properties:
- polymorph energy (0 for the lowest one) (meV/atom) = 288.1
- E_form (eV per formula unit) = 2.299
- total energy (eV per atom) = -3.01
- volume (Å³/cell) = 89.8


A plane-wave DFT calculation with PBE was carried out for crystalline K2IrAu at its relaxed geometry.

Geometry as POSCAR:
```
K2IrAu
1.0
-1.074 0.409 3.472
-3.439 -0.778 -0.972
1.688 -9.518 1.644
Au Ir K
1 1 2
Cartesian
0.998 -5.629 0.972
-1.148 -6.432 2.329
1.532 -8.638 1.492
-1.674 -3.466 1.817
```

Computed properties:
- polymorph energy (0 for the lowest one) (meV/atom) = 86.3
- E_form (eV per formula unit) = 1.492
- total energy (eV per atom) = -3.21
- volume (Å³/cell) = 131.1


A plane-wave DFT calculation with PBE was carried out for crystalline K2IrAu at its relaxed geometry.

Geometry as POSCAR:
```
K2IrAu
1.0
-1.982 3.446 -2.127
-2.835 -0.793 -3.416
-7.947 0.579 3.357
Au Ir K
1 1 2
Cartesian
-5.589 1.654 -1.744
-3.984 0.769 0.106
-5.585 2.628 -4.952
-8.808 2.450 -2.232
```

Computed properties:
- polymorph energy (0 for the lowest one) (meV/atom) = 0.0
- E_form (eV per formula unit) = 1.147
- total energy (eV per atom) = -3.30
- volume (Å³/cell) = 144.6


A plane-wave DFT calculation with PBE was carried out for crystalline K2IrAu at its relaxed geometry.

Geometry as POSCAR:
```
K2IrAu
1.0
-4.780 1.760 -0.648
-1.402 -4.514 -2.006
2.203 0.183 4.635
Au Ir K
1 1 2
Cartesian
-3.091 -1.377 -1.327
-2.834 0.283 1.330
0.000 0.000 0.000
-1.145 -2.854 0.651
```

Computed properties:
- polymorph energy (0 for the lowest one) (meV/atom) = 358.8
- E_form (eV per formula unit) = 2.582
- total energy (eV per atom) = -2.94
- volume (Å³/cell) = 95.6


A plane-wave DFT calculation with PBE was carried out for crystalline K2IrAu at its relaxed geometry.

Geometry as POSCAR:
```
K2IrAu
1.0
-1.250 0.363 -2.637
1.041 -2.615 -0.853
-8.762 -4.635 3.515
Au Ir K
1 1 2
Cartesian
-2.295 -2.285 -0.866
-6.676 -4.602 0.891
-8.656 -4.578 3.473
-4.488 -2.374 1.800
```

Computed properties:
- polymorph energy (0 for the lowest one) (meV/atom) = 231.9
- E_form (eV per formula unit) = 2.075
- total energy (eV per atom) = -3.06
- volume (Å³/cell) = 91.0


A plane-wave DFT calculation with PBE was carried out for crystalline K3IrAu at its relaxed geometry.

Geometry as POSCAR:
```
K3IrAu
1.0
6.042 0.000 0.000
0.000 6.042 0.000
0.000 0.000 6.042
K Ir Au
3 1 1
Cartesian
0.000 3.021 0.000
0.000 0.000 3.021
3.021 0.000 0.000
0.000 0.000 0.000
3.021 3.021 3.021
```

Computed properties:
- polymorph energy (0 for the lowest one) (meV/atom) = 0.0
- E_form (eV per formula unit) = 2.980
- total energy (eV per atom) = -2.49
- volume (Å³/cell) = 220.6


A plane-wave DFT calculation with PBE was carried out for crystalline KIrAu3 at its relaxed geometry.

Geometry as POSCAR:
```
KIrAu3
1.0
-5.143 0.059 0.391
-0.330 -3.450 -3.821
0.218 -3.834 3.444
K Ir Au
1 1 3
Cartesian
0.000 0.000 0.000
-2.628 -3.613 0.007
-0.165 -1.725 -1.910
0.109 -1.917 1.722
-2.572 0.030 0.196
```

Computed properties:
- polymorph energy (0 for the lowest one) (meV/atom) = 1695.6
- E_form (eV per formula unit) = 10.415
- total energy (eV per atom) = -1.88
- volume (Å³/cell) = 137.3


A plane-wave DFT calculation with PBE was carried out for crystalline K2IrAu at its relaxed geometry.

Geometry as POSCAR:
```
K2IrAu
1.0
5.704 -0.001 -0.003
4.953 2.828 -0.003
0.604 0.160 5.417
Au Ir K
1 1 2
Cartesian
8.446 2.241 4.059
2.815 0.747 1.353
10.641 2.823 0.012
5.646 1.498 2.689
```

Computed properties:
- polymorph energy (0 for the lowest one) (meV/atom) = 344.5
- E_form (eV per formula unit) = 2.525
- total energy (eV per atom) = -2.95
- volume (Å³/cell) = 87.4


A plane-wave DFT calculation with PBE was carried out for crystalline KIrAu4 at its relaxed geometry.

Geometry as POSCAR:
```
KIrAu4
1.0
0.000 3.927 3.927
3.927 0.000 3.927
3.927 3.927 0.000
K Ir Au
1 1 4
Cartesian
0.000 0.000 0.000
5.890 5.890 5.890
2.948 4.906 4.906
4.906 4.906 2.948
4.906 2.948 4.906
2.948 2.948 2.948
```

Computed properties:
- E_form (eV per formula unit) = 2.446
- total energy (eV per atom) = -3.44
- volume (Å³/cell) = 121.1


A plane-wave DFT calculation with PBE was carried out for crystalline K2IrAu at its relaxed geometry.

Geometry as POSCAR:
```
K2IrAu
1.0
-10.145 -3.628 -2.223
-8.643 -6.277 -2.631
-9.556 -5.447 0.181
Au Ir K
1 1 2
Cartesian
-7.086 -3.838 -1.168
-21.258 -11.514 -3.505
-0.075 -0.041 -0.012
-14.097 -7.635 -2.324
```

Computed properties:
- polymorph energy (0 for the lowest one) (meV/atom) = 324.3
- E_form (eV per formula unit) = 2.444
- total energy (eV per atom) = -2.97
- volume (Å³/cell) = 88.7


A plane-wave DFT calculation with PBE was carried out for crystalline K2IrAu2 at its relaxed geometry.

Geometry as POSCAR:
```
K2IrAu2
1.0
-2.152 6.117 -2.317
0.048 -2.425 -6.445
-5.107 -1.585 0.558
K Ir Au
4 2 4
Cartesian
-2.905 -1.346 -4.508
-3.974 1.366 -6.588
-4.306 3.453 -3.697
-3.237 0.741 -1.617
0.000 0.000 0.000
-1.052 1.846 -4.381
-0.729 0.109 -6.358
-1.815 3.690 -6.127
-1.375 3.583 -2.405
-0.289 0.002 -2.636
```

Computed properties:
- E_form (eV per formula unit) = 0.979
- total energy (eV per atom) = -3.33
- volume (Å³/cell) = 254.9


A plane-wave DFT calculation with PBE was carried out for crystalline K2IrAu at its relaxed geometry.

Geometry as POSCAR:
```
K2IrAu
1.0
-1.348 0.306 5.705
3.522 -4.104 2.281
1.108 4.781 -3.220
Au Ir K
1 1 2
Cartesian
0.916 -1.600 3.364
3.046 -0.939 2.216
0.050 -0.088 0.185
0.357 1.710 2.994
```

Computed properties:
- polymorph energy (0 for the lowest one) (meV/atom) = 114.1
- E_form (eV per formula unit) = 1.603
- total energy (eV per atom) = -3.18
- volume (Å³/cell) = 123.1


A plane-wave DFT calculation with PBE was carried out for crystalline K2IrAu at its relaxed geometry.

Geometry as POSCAR:
```
K2IrAu
1.0
-2.587 2.748 -4.936
-2.249 0.455 1.432
2.287 5.474 1.849
Au Ir K
1 1 2
Cartesian
-0.540 2.355 1.594
-0.703 6.431 0.038
1.725 4.862 1.803
-0.724 3.468 -1.601
```

Computed properties:
- polymorph energy (0 for the lowest one) (meV/atom) = 187.9
- E_form (eV per formula unit) = 1.898
- total energy (eV per atom) = -3.11
- volume (Å³/cell) = 104.4


A plane-wave DFT calculation with PBE was carried out for crystalline KIr3Au at its relaxed geometry.

Geometry as POSCAR:
```
KIr3Au
1.0
5.012 0.000 0.000
0.000 5.012 0.000
0.000 0.000 5.012
K Ir Au
1 3 1
Cartesian
2.506 2.506 2.506
0.000 2.506 0.000
0.000 0.000 2.506
2.506 0.000 0.000
0.000 0.000 0.000
```

Computed properties:
- polymorph energy (0 for the lowest one) (meV/atom) = 0.0
- E_form (eV per formula unit) = 9.560
- total energy (eV per atom) = -4.28
- volume (Å³/cell) = 125.9


A plane-wave DFT calculation with PBE was carried out for crystalline KIr3Au at its relaxed geometry.

Geometry as POSCAR:
```
KIr3Au
1.0
-3.125 2.803 2.103
-3.285 -1.361 -3.066
-1.221 -3.512 2.867
K Ir Au
1 3 1
Cartesian
0.000 0.000 0.000
-1.642 -0.680 -1.533
-0.611 -1.756 1.433
-1.562 1.402 1.052
-3.815 -1.035 0.952
```

Computed properties:
- polymorph energy (0 for the lowest one) (meV/atom) = 1217.3
- E_form (eV per formula unit) = 15.647
- total energy (eV per atom) = -3.06
- volume (Å³/cell) = 103.5


A plane-wave DFT calculation with PBE was carried out for crystalline K2IrAu at its relaxed geometry.

Geometry as POSCAR:
```
K2IrAu
1.0
5.196 0.000 0.000
0.000 2.839 0.013
0.000 2.807 6.232
Au Ir K
1 1 2
Cartesian
2.598 1.412 1.561
2.598 4.235 4.684
0.000 2.806 6.199
0.000 2.824 3.156
```

Computed properties:
- polymorph energy (0 for the lowest one) (meV/atom) = 252.7
- E_form (eV per formula unit) = 2.158
- total energy (eV per atom) = -3.04
- volume (Å³/cell) = 91.7


A plane-wave DFT calculation with PBE was carried out for crystalline K2IrAu at its relaxed geometry.

Geometry as POSCAR:
```
K2IrAu
1.0
-4.470 -6.179 -9.382
-0.030 -10.090 6.661
-4.584 -7.619 -0.589
K Ir Au
4 2 2
Cartesian
-2.999 -5.723 -3.197
-2.667 -10.289 0.862
-5.131 -13.946 -0.055
-7.368 -17.819 -4.229
-2.250 -8.135 -1.361
-3.431 -12.922 2.356
0.000 0.000 0.000
-5.652 -10.967 -5.665
```

Computed properties:
- polymorph energy (0 for the lowest one) (meV/atom) = 241.8
- E_form (eV per formula unit) = 2.114
- total energy (eV per atom) = -3.05
- volume (Å³/cell) = 367.2


A plane-wave DFT calculation with PBE was carried out for crystalline K2IrAu at its relaxed geometry.

Geometry as POSCAR:
```
K2IrAu
1.0
5.963 0.008 0.000
3.018 5.143 0.000
-4.491 -2.575 2.960
Au Ir K
1 1 2
Cartesian
1.509 2.571 1.480
2.981 0.004 1.480
0.000 0.000 0.000
4.491 2.575 0.000
```

Computed properties:
- polymorph energy (0 for the lowest one) (meV/atom) = 285.8
- E_form (eV per formula unit) = 2.290
- total energy (eV per atom) = -3.01
- volume (Å³/cell) = 90.7


A plane-wave DFT calculation with PBE was carried out for crystalline KIrAu3 at its relaxed geometry.

Geometry as POSCAR:
```
KIrAu3
1.0
-4.244 -1.584 -2.426
-2.192 -1.057 4.526
-1.894 4.773 0.197
K Ir Au
1 1 3
Cartesian
-4.165 1.066 1.149
0.000 0.000 0.000
-1.096 -0.529 2.263
-0.947 2.386 0.099
-2.122 -0.792 -1.213
```

Computed properties:
- polymorph energy (0 for the lowest one) (meV/atom) = 0.0
- E_form (eV per formula unit) = 1.937
- total energy (eV per atom) = -3.57
- volume (Å³/cell) = 135.7


A plane-wave DFT calculation with PBE was carried out for crystalline KIrOsAu2 at its relaxed geometry.

Geometry as POSCAR:
```
KIrOsAu2
1.0
5.053 0.000 0.000
0.000 5.608 0.000
0.000 0.000 5.053
Os K Ir Au
1 1 1 2
Cartesian
0.000 0.000 0.000
0.000 2.804 0.000
2.526 2.804 2.526
0.000 0.000 2.526
2.526 0.000 0.000
```

Computed properties:
- E_form (eV per formula unit) = 10.289
- total energy (eV per atom) = -3.49
- volume (Å³/cell) = 143.2


A plane-wave DFT calculation with PBE was carried out for crystalline KIr2AuS at its relaxed geometry.

Geometry as POSCAR:
```
KIr2AuS
1.0
4.406 0.000 0.000
0.000 5.552 0.000
0.000 0.000 4.406
K Ir Au S
1 2 1 1
Cartesian
0.000 2.776 0.000
0.000 0.000 2.203
2.203 0.000 0.000
2.203 2.776 2.203
0.000 0.000 0.000
```

Computed properties:
- total energy (eV per atom) = -4.63
- ΔE_f (raw) (eV/f.u.) = 3.09
- volume (Å³/cell) = 107.8


A plane-wave DFT calculation with PBE was carried out for crystalline KTa2IrAu at its relaxed geometry.

Geometry as POSCAR:
```
KTa2IrAu
1.0
5.022 0.000 0.000
0.000 5.161 0.000
0.000 0.000 5.022
K Ir Au Ta
1 1 1 2
Cartesian
2.511 2.580 2.511
0.000 2.580 0.000
0.000 0.000 0.000
0.000 0.000 2.511
2.511 0.000 0.000
```

Computed properties:
- E_form (eV per formula unit) = 9.102
- total energy (eV per atom) = -5.57
- volume (Å³/cell) = 130.1


A plane-wave DFT calculation with PBE was carried out for crystalline KTaIr2Au at its relaxed geometry.

Geometry as POSCAR:
```
KTaIr2Au
1.0
-0.905 3.741 -2.631
2.259 -1.937 -3.531
-3.964 -1.979 -1.450
K Ir Au Ta
1 2 1 1
Cartesian
0.000 0.000 0.000
-1.982 -0.989 -0.725
-0.452 1.870 -1.315
-1.305 -0.087 -3.806
1.129 -0.968 -1.765
```

Computed properties:
- E_form (eV per formula unit) = 14.762
- total energy (eV per atom) = -3.84
- volume (Å³/cell) = 100.3


A plane-wave DFT calculation with PBE was carried out for crystalline KTl2IrAu at its relaxed geometry.

Geometry as POSCAR:
```
KTl2IrAu
1.0
5.247 0.000 0.000
0.000 5.247 0.000
0.000 0.000 5.456
Tl Ir Au K
2 1 1 1
Cartesian
0.000 2.623 0.000
2.623 0.000 0.000
0.000 0.000 0.000
0.000 0.000 2.728
2.623 2.623 2.728
```

Computed properties:
- polymorph energy (0 for the lowest one) (meV/atom) = 0.0
- E_form (eV per formula unit) = 0.125
- total energy (eV per atom) = -3.57
- volume (Å³/cell) = 150.2


A plane-wave DFT calculation with PBE was carried out for crystalline KTl2IrAu at its relaxed geometry.

Geometry as POSCAR:
```
KTl2IrAu
1.0
-2.399 -5.337 1.568
3.807 -2.299 -2.000
2.928 0.240 5.298
Tl Ir Au K
2 1 1 1
Cartesian
1.464 0.120 2.649
-1.200 -2.669 0.784
1.904 -1.150 -1.000
2.168 -3.698 2.433
0.000 0.000 0.000
```

Computed properties:
- polymorph energy (0 for the lowest one) (meV/atom) = 1491.1
- E_form (eV per formula unit) = 7.581
- total energy (eV per atom) = -2.08
- volume (Å³/cell) = 179.0


A plane-wave DFT calculation with PBE was carried out for crystalline KVIr2Au at its relaxed geometry.

Geometry as POSCAR:
```
KVIr2Au
1.0
4.981 0.000 0.000
0.000 5.232 0.000
0.000 0.000 4.981
K Ir Au V
1 2 1 1
Cartesian
0.000 2.616 0.000
0.000 0.000 2.490
2.490 0.000 0.000
0.000 0.000 0.000
2.490 2.616 2.490
```

Computed properties:
- polymorph energy (0 for the lowest one) (meV/atom) = 431.2
- E_form (eV per formula unit) = 10.537
- total energy (eV per atom) = -4.14
- volume (Å³/cell) = 129.8